[1]
Material: LiLa2GeAu6
Method: DFT, GGA-PBE
State: relaxed

Output
Its magnetic moment is 0.000 μB/f.u. The density of states at the Fermi level comes out at 5.1 states/eV/cell.

Structure (POSCAR):
```
LiLa2GeAu6
1.0
5.4869 0.0000 0.0000
2.7227 6.3681 0.0000
2.7261 0.0422 6.4781
Li La Ge Au
1 2 1 6
Direct
0.0000 0.0000 0.0000
0.4785 0.2835 0.7602
0.5215 0.7165 0.2398
0.0000 0.5000 0.5000
0.0117 0.2684 0.2092
0.1538 0.0890 0.6016
0.4897 0.7339 0.7892
0.5103 0.2661 0.2108
0.8462 0.9110 0.3984
0.9883 0.7316 0.7908
```

=====

[2]
Material: Fe2AuBr
Method: DFT, GGA-PBE
State: relaxed

Output
Its magnetic moment is 5.834 μB/f.u. The density of states at the Fermi level comes out at 3.4 states/eV/cell.

Structure (POSCAR):
```
Fe2AuBr
1.0
0.0000 3.2374 3.2374
3.2374 0.0000 3.2374
3.2374 3.2374 0.0000
Fe Au Br
2 1 1
Direct
0.0000 0.0000 0.0000
0.2500 0.2500 0.2500
0.7500 0.7500 0.7500
0.5000 0.5000 0.5000
```

=====

[3]
Material: CaPaOs4
Method: DFT, GGA-PBE
State: relaxed

Output
Its magnetic moment is 0.000 μB/f.u. The density of states at the Fermi level comes out at 4.1 states/eV/cell.

Structure (POSCAR):
```
CaPaOs4
1.0
0.0000 3.7896 3.7896
3.7896 0.0000 3.7896
3.7896 3.7896 0.0000
Ca Pa Os
1 1 4
Direct
0.0000 0.0000 0.0000
0.2500 0.2500 0.2500
0.1244 0.6252 0.6252
0.6252 0.1244 0.6252
0.6252 0.6252 0.1244
0.6252 0.6252 0.6252
```

=====

[4]
Material: SrPmZn2Au5
Method: DFT, GGA-PBE
State: relaxed

Output
Its magnetic moment is 0.000 μB/f.u. The density of states at the Fermi level comes out at 3.1 states/eV/cell.

Structure (POSCAR):
```
SrPmZn2Au5
1.0
4.5745 0.0000 0.0000
0.0000 4.5745 0.0000
0.0000 0.0000 9.2496
Sr Pm Zn Au
1 1 2 5
Direct
0.0000 0.0000 0.0000
0.0000 0.0000 0.5000
0.5000 0.5000 0.3692
0.5000 0.5000 0.6308
0.0000 0.5000 0.2414
0.0000 0.5000 0.7586
0.5000 0.0000 0.2414
0.5000 0.0000 0.7586
0.5000 0.5000 0.0000
```

=====

[5]
Material: CaGaRu3
Method: DFT, GGA-PBE
State: relaxed

Output
Its magnetic moment is 4.916 μB/f.u. The value obtained for the energy above the lowest structure with this stoichiometry is 1299.3 meV/atom. The density of states at the Fermi level comes out at 7.5 states/eV/cell.

Structure (POSCAR):
```
CaGaRu3
1.0
4.7416 0.0000 0.0000
0.0000 4.7416 0.0000
0.0000 0.0000 4.7416
Ca Ga Ru
1 1 3
Direct
0.0000 0.0000 0.0000
0.5000 0.5000 0.5000
0.0000 0.0000 0.5000
0.0000 0.5000 0.0000
0.5000 0.0000 0.0000
```

=====

[6]
Material: PaMnHg
Method: DFT, GGA-PBE
State: relaxed

Output
Its magnetic moment is 0.418 μB/f.u. The value obtained for the energy above the lowest structure with this stoichiometry is 172.9 meV/atom. The density of states at the Fermi level comes out at 7.0 states/eV/cell.

Structure (POSCAR):
```
PaMnHg
1.0
3.5068 0.0000 0.0000
0.0000 3.5068 0.0000
0.0000 0.0000 10.2116
Pa Mn Hg
2 2 2
Direct
0.2500 0.2500 0.1841
0.7500 0.7500 0.8159
0.2500 0.2500 0.9684
0.7500 0.7500 0.0316
0.2500 0.2500 0.5966
0.7500 0.7500 0.4034
```

=====

[7]
Material: LiMnIn2
Method: DFT, GGA-PBE
State: relaxed

Output
Its magnetic moment is 3.618 μB/f.u. The density of states at the Fermi level comes out at 2.1 states/eV/cell.

Structure (POSCAR):
```
LiMnIn2
1.0
4.5831 -1.5878 0.0000
4.5831 1.5878 0.0000
-0.9449 0.0000 5.5157
Li Mn In
1 1 2
Direct
0.0000 0.0000 0.0000
0.5000 0.5000 0.5000
0.2482 0.2482 0.7465
0.7518 0.7518 0.2535
```

=====

[8]
Material: NaTl2Pt2
Method: DFT, GGA-PBE
State: relaxed

Output
Its magnetic moment is 0.000 μB/f.u. The value obtained for the energy above the lowest structure with this stoichiometry is 51.0 meV/atom. The density of states at the Fermi level comes out at 3.4 states/eV/cell.

Structure (POSCAR):
```
NaTl2Pt2
1.0
8.4212 0.0000 0.0000
0.0000 8.4212 0.0000
0.0000 0.0000 3.0022
Na Tl Pt
2 4 4
Direct
0.0000 0.0000 0.0000
0.5000 0.5000 0.0000
0.1379 0.3621 0.0000
0.3621 0.8621 0.0000
0.6379 0.1379 0.0000
0.8621 0.6379 0.0000
0.1616 0.6616 0.5000
0.3384 0.1616 0.5000
0.6616 0.8384 0.5000
0.8384 0.3384 0.5000
```

=====

[9]
Material: CeSc2Se
Method: DFT, GGA-PBE
State: relaxed

Output
Its magnetic moment is 0.002 μB/f.u. The value obtained for the energy above the lowest structure with this stoichiometry is 490.5 meV/atom. The density of states at the Fermi level comes out at 6.5 states/eV/cell.

Structure (POSCAR):
```
CeSc2Se
1.0
2.3763 1.3719 4.5072
-2.3763 1.3719 4.5072
0.0000 -2.7439 4.5072
Ce Sc Se
1 2 1
Direct
0.0000 0.0000 0.0000
0.2244 0.2244 0.2244
0.7756 0.7756 0.7756
0.5000 0.5000 0.5000
```

=====

[10]
Material: CrAsBr2
Method: DFT, GGA-PBE
State: relaxed

Output
Its magnetic moment is 4.400 μB/f.u. The value obtained for the energy above the lowest structure with this stoichiometry is 662.6 meV/atom. The density of states at the Fermi level comes out at 3.2 states/eV/cell.

Structure (POSCAR):
```
CrAsBr2
1.0
5.0156 0.0000 0.0000
0.0000 5.0156 0.0000
0.0000 0.0000 3.5470
Cr As Br
1 1 2
Direct
0.0000 0.0000 0.0000
0.5000 0.5000 0.0000
0.0000 0.5000 0.5000
0.5000 0.0000 0.5000
```

=====

[11]
Material: Sr2TlZn3
Method: DFT, GGA-PBE
State: relaxed

Output
Its magnetic moment is 0.000 μB/f.u. The density of states at the Fermi level comes out at 9.3 states/eV/cell.

Structure (POSCAR):
```
Sr2TlZn3
1.0
0.0000 4.7075 8.2485
4.2165 0.0000 8.2485
4.2165 4.7075 0.0000
Sr Tl Zn
4 2 6
Direct
0.2461 0.7539 0.7539
0.2500 0.2500 0.2500
0.7500 0.7500 0.7500
0.7539 0.2461 0.2461
0.3344 0.3344 0.6656
0.6656 0.6656 0.3344
0.1612 0.1612 0.8388
0.1615 0.6787 0.3213
0.3213 0.8385 0.1615
0.6787 0.1615 0.8385
0.8385 0.3213 0.6787
0.8388 0.8388 0.1612
```

=====

[12]
Material: LiDy12Ru6
Method: DFT, GGA-PBE
State: relaxed

Output
Its magnetic moment is 0.000 μB/f.u. The density of states at the Fermi level comes out at 11.4 states/eV/cell.

Structure (POSCAR):
```
LiDy12Ru6
1.0
6.3098 3.6430 3.6876
-6.3098 3.6430 3.6876
0.0000 -7.2860 3.6876
Li Dy Ru
1 12 6
Direct
0.0000 0.0000 0.0000
0.0695 0.6649 0.9203
0.0797 0.9305 0.3351
0.1764 0.4150 0.5558
0.3351 0.0797 0.9305
0.4150 0.5558 0.1764
0.4442 0.8236 0.5850
0.5558 0.1764 0.4150
0.5850 0.4442 0.8236
0.6649 0.9203 0.0695
0.8236 0.5850 0.4442
0.9203 0.0695 0.6649
0.9305 0.3351 0.0797
0.1387 0.6132 0.3033
0.3033 0.1387 0.6132
0.3868 0.6967 0.8613
0.6132 0.3033 0.1387
0.6967 0.8613 0.3868
0.8613 0.3868 0.6967
```

=====

[13]
Material: CeSnPt
Method: DFT, GGA-PBE
State: relaxed

Output
Its magnetic moment is 0.764 μB/f.u. The density of states at the Fermi level comes out at 5.0 states/eV/cell.

Structure (POSCAR):
```
CeSnPt
1.0
4.6978 0.0000 0.0000
-2.3489 4.0684 0.0000
0.0000 0.0000 3.6892
Ce Sn Pt
1 1 1
Direct
0.0000 0.0000 0.0000
0.3333 0.6667 0.5000
0.6667 0.3333 0.5000
```

=====

[14]
Material: ZnCr2Au
Method: DFT, GGA-PBE
State: relaxed

Output
Its magnetic moment is 0.000 μB/f.u. The density of states at the Fermi level comes out at 2.7 states/eV/cell.

Structure (POSCAR):
```
ZnCr2Au
1.0
1.4227 0.8214 8.3296
-1.4227 0.8214 8.3296
0.0000 -1.6428 8.3296
Zn Cr Au
1 2 1
Direct
0.0000 0.0000 0.0000
0.2457 0.2457 0.2457
0.5188 0.5188 0.5188
0.7583 0.7583 0.7583
```

=====

[15]
Material: CaZn2Bi
Method: DFT, GGA-PBE
State: relaxed

Output
Its magnetic moment is 0.000 μB/f.u. The density of states at the Fermi level comes out at 2.6 states/eV/cell.

Structure (POSCAR):
```
CaZn2Bi
1.0
-2.2607 2.2607 10.6751
2.2607 -2.2607 10.6751
2.2607 2.2607 -10.6751
Ca Zn Bi
2 4 2
Direct
0.0000 0.0000 0.0000
0.7500 0.2500 0.5000
0.1848 0.6250 0.0598
0.3750 0.4348 0.5598
0.5652 0.1250 0.9402
0.8750 0.8152 0.4402
0.2500 0.7500 0.5000
0.5000 0.5000 0.0000
```

=====

[16]
Material: DyMg2AlPd4
Method: DFT, GGA-PBE
State: relaxed

Output
Its magnetic moment is 0.000 μB/f.u. The density of states at the Fermi level comes out at 3.2 states/eV/cell.

Structure (POSCAR):
```
DyMg2AlPd4
1.0
2.2890 1.3216 7.5831
-2.2890 1.3216 7.5831
0.0000 -2.6432 7.5831
Dy Mg Al Pd
1 2 1 4
Direct
0.0000 0.0000 0.0000
0.2463 0.2463 0.2463
0.7537 0.7537 0.7537
0.5000 0.5000 0.5000
0.1292 0.1292 0.1292
0.3880 0.3880 0.3880
0.6120 0.6120 0.6120
0.8708 0.8708 0.8708
```

=====

[17]
Material: NaCdInHg3
Method: DFT, GGA-PBE
State: relaxed

Output
Its magnetic moment is 0.000 μB/f.u. The density of states at the Fermi level comes out at 3.3 states/eV/cell.

Structure (POSCAR):
```
NaCdInHg3
1.0
7.2276 0.0000 0.0000
0.0000 4.8471 0.0000
-3.0710 0.0000 8.6877
Na Cd In Hg
2 2 2 6
Direct
0.1297 0.2500 0.2794
0.8703 0.7500 0.7206
0.4943 0.2500 0.6135
0.5057 0.7500 0.3865
0.4821 0.7500 0.8629
0.5179 0.2500 0.1371
0.1657 0.7500 0.5220
0.1783 0.7500 0.0663
0.1848 0.2500 0.8017
0.8152 0.7500 0.1983
0.8217 0.2500 0.9337
0.8343 0.2500 0.4780
```

=====

[18]
Material: Pu4F
Method: DFT, GGA-PBE
State: relaxed

Output
Its magnetic moment is 24.066 μB/f.u. The density of states at the Fermi level comes out at 29.0 states/eV/cell.

Structure (POSCAR):
```
Pu4F
1.0
5.0370 0.0000 0.0000
0.0000 5.0370 0.0000
0.0000 0.0000 5.0370
Pu F
4 1
Direct
0.0000 0.0000 0.0000
0.0000 0.5000 0.5000
0.5000 0.0000 0.5000
0.5000 0.5000 0.0000
0.5000 0.5000 0.5000
```

=====

[19]
Material: Er2AlGa2Ir5
Method: DFT, GGA-PBE
State: relaxed

Output
Its magnetic moment is 0.000 μB/f.u. The density of states at the Fermi level comes out at 9.0 states/eV/cell.

Structure (POSCAR):
```
Er2AlGa2Ir5
1.0
9.7477 0.0000 0.0000
0.0000 9.7477 0.0000
0.0000 0.0000 3.5224
Er Al Ga Ir
4 2 4 10
Direct
0.1733 0.3267 0.0000
0.3267 0.8267 0.0000
0.6733 0.1733 0.0000
0.8267 0.6733 0.0000
0.0000 0.0000 0.0000
0.5000 0.5000 0.0000
0.1270 0.6270 0.0000
0.3730 0.1270 0.0000
0.6270 0.8730 0.0000
0.8730 0.3730 0.0000
0.0000 0.5000 0.5000
0.0634 0.7991 0.5000
0.2009 0.0634 0.5000
0.2991 0.5634 0.5000
0.4366 0.2991 0.5000
0.5000 0.0000 0.5000
0.5634 0.7009 0.5000
0.7009 0.4366 0.5000
0.7991 0.9366 0.5000
0.9366 0.2009 0.5000
```

=====

[20]
Material: Ce3Cd4Hg4
Method: DFT, GGA-PBE
State: relaxed

Output
Its magnetic moment is 3.834 μB/f.u. The value obtained for the energy above the lowest structure with this stoichiometry is 0.0 meV/atom. The density of states at the Fermi level comes out at 21.4 states/eV/cell.

Structure (POSCAR):
```
Ce3Cd4Hg4
1.0
3.4078 0.0000 0.0000
0.0006 5.0564 0.0000
1.7023 2.5220 15.8621
Ce Cd Hg
3 4 4
Direct
0.0000 0.0000 0.0000
0.1395 0.6391 0.7206
0.8605 0.3609 0.2794
0.2658 0.2661 0.4687
0.4080 0.9084 0.1841
0.5920 0.0916 0.8159
0.7342 0.7339 0.5313
0.3163 0.8166 0.3682
0.4527 0.4533 0.0940
0.5473 0.5467 0.9060
0.6837 0.1834 0.6318
```

=====

Number 1: electronic total energy -41.16 eV/cell. Number 2: electronic total energy -18.66 eV/cell. Number 3: electronic total energy -57.06 eV/cell. Number 4: electronic total energy -29.79 eV/cell. Number 5: electronic total energy -22.28 eV/cell. Number 6: electronic total energy -37.33 eV/cell. Number 7: electronic total energy -16.20 eV/cell. Number 8: electronic total energy -37.17 eV/cell. Number 9: electronic total energy -22.79 eV/cell. Number 10: electronic total energy -15.64 eV/cell. Number 11: electronic total energy -22.19 eV/cell. Number 12: electronic total energy -114.52 eV/cell. Number 13: electronic total energy -18.78 eV/cell. Number 14: electronic total energy -22.99 eV/cell. Number 15: electronic total energy -17.63 eV/cell. Number 16: electronic total energy -38.67 eV/cell. Number 17: electronic total energy -12.97 eV/cell. Number 18: electronic total energy -61.68 eV/cell. Number 19: electronic total energy -140.58 eV/cell. Number 20: electronic total energy -25.54 eV/cell.